[1]
Dy2TlPb: optimized geometry, PBE.

The density of states at the Fermi level is 0.81 states/eV per atom. The calculation puts the magnetization at 0.00 μB per formula unit. Its formation energy is -0.21 eV per atom.

The structure belongs to space group R3m (No. 160, hexagonal axes); the cell edges are 4.6572, 4.6572 and 20.6205 Å and the angles 90.00°, 90.00° and 120.00°. The asymmetric unit holds Dy at (0.0000, 0.0000, 0.0000), Dy at (0.0000, 0.0000, 0.1816), Tl at (0.0000, 0.0000, 0.4220) and Pb at (0.0000, 0.0000, 0.5890).


[2]
Dy7Tl4Pb: optimized geometry, PBE.

The density of states at the Fermi level is 0.94 states/eV per atom. The calculation puts the magnetization at 0.00 μB per formula unit. Its formation energy is -0.10 eV per atom.

The structure belongs to space group C2/m (No. 12); the cell edges are 14.342, 5.797 and 11.127 Å and the angles 90.00°, 126.88° and 90.00°. The asymmetric unit holds Dy at (0.000, 0.000, 0.000), Dy at (0.070, 0.500, 0.323), Dy at (0.158, 0.000, 0.587), Dy at (0.213, 0.500, 0.875), Tl at (0.067, 0.000, 0.772), Tl at (0.211, 0.000, 0.340) and Pb at (0.000, 0.500, 0.000).


[3]
Dy2Tl2Pb: optimized geometry, PBE.

The density of states at the Fermi level is 0.75 states/eV per atom. The distance to the lowest polymorph of the same formula comes out at 0.056 eV/atom. The calculation puts the magnetization at 0.00 μB per formula unit. Its formation energy is -0.21 eV per atom.

The structure belongs to space group P2_1/m (No. 11); the cell edges are 6.362, 4.792 and 10.104 Å and the angles 90.00°, 103.07° and 90.00°. The asymmetric unit holds Dy at (0.047, 0.250, 0.233), Dy at (0.404, 0.250, 0.620), Tl at (0.127, 0.750, 0.444), Tl at (0.461, 0.750, 0.825) and Pb at (0.227, 0.750, 0.072).


[4]
DyTlPb6: optimized geometry, PBE.

The density of states at the Fermi level is 0.77 states/eV per atom. The calculation puts the magnetization at 0.00 μB per formula unit. Its formation energy is -0.11 eV per atom.

The structure belongs to space group P4/mmm (No. 123); the cell edges are 4.883, 4.883 and 10.166 Å and the angles 90.00°, 90.00° and 90.00°. The asymmetric unit holds Dy at (0.000, 0.000, 0.000), Tl at (0.000, 0.000, 0.500), Pb at (0.000, 0.500, 0.245), Pb at (0.500, 0.500, 0.000) and Pb at (0.500, 0.500, 0.500).